# 1
## CuMo2Rh2 (PBE)

Data for a relaxed CuMo2Rh2 crystal.

abc: 7.5207 7.5207 2.7647
angles: 90.00 90.00 90.00
Space group P4/mbm (No. 127)
One atom of each set of equivalent atoms:
1 Cu 0.0000 0.0000 0.0000 (multiplicity 2)
2 Mo 0.1693 0.3307 0.5000 (multiplicity 4)
3 Rh 0.1266 0.6266 0.0000 (multiplicity 4)

Values from the calculation:
The calculation puts the spin magnetization at 0.00 Bohr magnetons per cell. The density of states at the Fermi level comes out at 11.04 states/eV/cell. For the offset from the most stable computed form, the calculation gives 0 meV/atom. The value obtained for the calculated formation energy is 0.146 eV/atom. The calculation puts the density at 9.796 g/cm3. The electronic total energy is -7.946 eV per atom.

***

# 2
## Pm2Ho3Si4 (PBE)

Data for a relaxed Pm2Ho3Si4 crystal.

abc: 7.7027 7.7537 7.4582
angles: 90.00 106.86 90.00
Space group P2_1/c (No. 14)
One atom of each set of equivalent atoms:
1 Pm 0.1983 0.1783 0.0838 (multiplicity 4)
2 Ho 0.2447 0.6806 0.2529 (multiplicity 4)
3 Ho 0.5000 0.0000 0.5000 (multiplicity 2)
4 Si 0.0790 0.5309 0.8769 (multiplicity 4)
5 Si 0.4927 0.1189 0.8764 (multiplicity 4)

Values from the calculation:
The calculation puts the spin magnetization at 0.00 Bohr magnetons per cell. The density of states at the Fermi level comes out at 16.71 states/eV/cell. The raw formation energy comes out at -766.5 meV/atom. The calculation puts the density at 6.989 g/cm3. The electronic total energy is -5.758 eV per atom.

***

# 3
## PmIn2Ni9 (PBE)

Data for a relaxed PmIn2Ni9 crystal.

abc: 8.2817 8.2817 4.8672
angles: 90.00 90.00 90.00
Space group P4/mbm (No. 127)
One atom of each set of equivalent atoms:
1 Pm 0.0000 0.0000 0.0000 (multiplicity 2)
2 In 0.1245 0.3755 0.0000 (multiplicity 4)
3 Ni 0.0000 0.5000 0.5000 (multiplicity 2)
4 Ni 0.0652 0.2080 0.5000 (multiplicity 8)
5 Ni 0.1761 0.6761 0.2496 (multiplicity 8)

Values from the calculation:
The calculation puts the spin magnetization at 3.11 Bohr magnetons per cell. The density of states at the Fermi level comes out at 35.91 states/eV/cell. For the offset from the most stable computed form, the calculation gives 0 meV/atom. The value obtained for the calculated formation energy is -0.212 eV/atom. The calculation puts the density at 8.982 g/cm3. The electronic total energy is -5.400 eV per atom.